Entry from Alexandria: an optimized crystal structure of CdSb2F (GGA-PBE).

Lattice parameters (Å, degrees): 4.9382 4.9382 4.9382 60.00 60.00 60.00
Closest atoms and distances in Å follow each position.
Atoms (fractional coordinates):
Sb 0.2500 0.2500 0.2500  4 Cd 3.02, 4 F 3.02
Sb 0.7500 0.7500 0.7500  4 Cd 3.02, 4 F 3.02
F 0.0000 0.0000 0.0000  8 Sb 3.02
Cd 0.5000 0.5000 0.5000  8 Sb 3.02

Output
Magnetization, μB per formula unit: 0.0
Symmetry: Fm-3m
Formation energy (no corrections), eV per atom: -0.45



Entry from Alexandria: an optimized crystal structure of CdSb3F (GGA-PBE).

Lattice parameters (Å, degrees): 5.5048 5.5048 5.5048 90.00 90.00 90.00
Closest atoms and distances in Å follow each position.
Atoms (fractional coordinates):
Sb 0.0000 0.5000 0.0000  2 Cd 2.75
Sb 0.0000 0.0000 0.5000  2 Cd 2.75
Sb 0.5000 0.0000 0.0000  2 Cd 2.75
F 0.5000 0.5000 0.5000  12 Sb 3.89
Cd 0.0000 0.0000 0.0000  6 Sb 2.75

Output
Excess energy over the best structure of this formula in the dataset, eV/atom: 0.562
Magnetization, μB per formula unit: 0.0
Symmetry: Pm-3m
Formation energy (no corrections), eV per atom: 0.53



Entry from Alexandria: an optimized crystal structure of CdSb3F (GGA-PBE).

Lattice parameters (Å, degrees): 4.9849 4.9849 4.9849 90.00 90.00 90.00
Closest atoms and distances in Å follow each position.
Atoms (fractional coordinates):
Sb 0.0000 0.5000 0.0000  2 F 2.49
Sb 0.0000 0.0000 0.5000  2 F 2.49
Sb 0.5000 0.0000 0.0000  2 F 2.49
F 0.0000 0.0000 0.0000  6 Sb 2.49
Cd 0.5000 0.5000 0.5000  12 Sb 3.52

Output
Excess energy over the best structure of this formula in the dataset, eV/atom: 0.000
Magnetization, μB per formula unit: 0.0
Symmetry: Pm-3m
Formation energy (no corrections), eV per atom: -0.03



Entry from Alexandria: an optimized crystal structure of CdSbF5 (GGA-PBE).

Lattice parameters (Å, degrees): 5.9643 5.9514 8.4311 113.09 98.01 104.25
Closest atoms and distances in Å follow each position.
Atoms (fractional coordinates):
Cd 0.9990 0.0012 0.9994  6 F 2.18-2.41
Cd 0.9992 0.5014 0.4993  6 F 2.18-2.41
Sb 0.4870 0.2392 0.7494  4 F 2.02-2.10
Sb 0.5109 0.7633 0.2490  4 F 2.02-2.10
F 0.8995 0.1502 0.2499  2 Cd 2.18
F 0.0986 0.8519 0.7491  2 Cd 2.18
F 0.7040 0.6114 0.3836  1 Sb 2.09, 1 Cd 2.25
F 0.2231 0.8194 0.1140  1 Sb 2.10, 1 Cd 2.25
F 0.3338 0.3853 0.0807  1 Sb 2.02
F 0.3029 0.7545 0.4182  1 Sb 2.02
F 0.6642 0.6169 0.9181  1 Sb 2.02
F 0.6958 0.2483 0.5807  1 Sb 2.02
F 0.7739 0.1822 0.8847  1 Sb 2.10, 1 Cd 2.25
F 0.2954 0.3924 0.6149  1 Sb 2.09, 1 Cd 2.25

Output
Magnetization, μB per formula unit: 0.0
Symmetry: P1
Formation energy (no corrections), eV per atom: -2.26



Entry from Alexandria: an optimized crystal structure of Cd2SbF (GGA-PBE).

Lattice parameters (Å, degrees): 4.8986 4.8986 4.8986 60.00 60.00 60.00
Closest atoms and distances in Å follow each position.
Atoms (fractional coordinates):
Sb 0.5000 0.5000 0.5000  8 Cd 3.00
F 0.0000 0.0000 0.0000  8 Cd 3.00
Cd 0.2500 0.2500 0.2500  4 Sb 3.00, 4 F 3.00
Cd 0.7500 0.7500 0.7500  4 Sb 3.00, 4 F 3.00

Output
Excess energy over the best structure of this formula in the dataset, eV/atom: 0.178
Magnetization, μB per formula unit: 0.0
Symmetry: Fm-3m
Formation energy (no corrections), eV per atom: -0.60



Entry from Alexandria: an optimized crystal structure of CdSbF4 (GGA-PBE).

Lattice parameters (Å, degrees): 6.7149 6.7149 6.7149 108.80 108.80 110.82
Closest atoms and distances in Å follow each position.
Atoms (fractional coordinates):
Cd 0.2469 0.2469 0.0000  6 F 2.53-2.73
Cd 0.9969 0.4969 0.5000  6 F 2.53-2.73
Sb 0.7391 0.7391 0.0000  4 F 2.09-2.18
Sb 0.4891 0.9891 0.5000  4 F 2.09-2.18
F 0.2863 0.9653 0.6790  1 Sb 2.09
F 0.7207 0.4429 0.7222  1 Sb 2.18
F 0.7153 0.5363 0.1790  1 Sb 2.09
F 0.1929 0.9707 0.2222  1 Sb 2.18
F 0.3573 0.5363 0.8210  1 Sb 2.09
F 0.7485 0.9707 0.7778  1 Sb 2.18
F 0.7207 0.9985 0.2778  1 Sb 2.18
F 0.2863 0.6073 0.3210  1 Sb 2.09

Output
Magnetization, μB per formula unit: 0.0
Symmetry: I4_1md
Formation energy (no corrections), eV per atom: -1.93



Entry from Alexandria: an optimized crystal structure of CdSbF2 (GGA-PBE).

Lattice parameters (Å, degrees): 7.3966 7.3966 5.9974 51.93 51.93 90.00
Closest atoms and distances in Å follow each position.
Atoms (fractional coordinates):
Sb 0.0000 0.0000 0.0000  4 F 2.35
Sb 0.7500 0.2500 0.5000  4 F 2.35
F 0.7060 0.1250 0.2500  2 Sb 2.35
F 0.0440 0.6250 0.2500  2 Sb 2.35
F 0.3750 0.2940 0.7500  2 Sb 2.35
F 0.8750 0.9560 0.7500  2 Sb 2.35
Cd 0.5000 0.5000 0.0000  2 Sb 2.94, 8 F 3.14-3.15
Cd 0.2500 0.7500 0.5000  2 Sb 2.94, 8 F 3.14-3.15

Output
Excess energy over the best structure of this formula in the dataset, eV/atom: 0.206
Magnetization, μB per formula unit: 0.0
Symmetry: I-42d
Formation energy (no corrections), eV per atom: -1.16



Entry from Alexandria: an optimized crystal structure of Cd12Sb3F5 (GGA-PBE).

Lattice parameters (Å, degrees): 13.6619 13.6619 13.6619 109.47 109.47 109.47
Closest atoms and distances in Å follow each position.
Atoms (fractional coordinates):
Sb 0.7500 0.3750 0.1250  8 Cd 2.98-3.19
Sb 0.8750 0.7500 0.1250  8 Cd 2.98-3.19
Sb 0.3750 0.7500 0.6250  8 Cd 2.98-3.19
Sb 0.2500 0.1250 0.3750  8 Cd 2.98-3.19
Sb 0.8750 0.1250 0.2500  8 Cd 2.98-3.19
Sb 0.3750 0.6250 0.2500  8 Cd 2.98-3.19
Sb 0.6250 0.3750 0.7500  8 Cd 2.98-3.19
Sb 0.1250 0.8750 0.7500  8 Cd 2.98-3.19
Sb 0.7500 0.8750 0.6250  8 Cd 2.98-3.19
Sb 0.6250 0.2500 0.3750  8 Cd 2.98-3.19
Sb 0.1250 0.2500 0.8750  8 Cd 2.98-3.19
Sb 0.2500 0.6250 0.8750  8 Cd 2.98-3.19
F 0.1250 0.3750 0.2500  4 Cd 2.40
F 0.0000 0.5000 0.0000  6 Cd 2.59
F 0.0000 0.0000 0.0000  6 Cd 2.59
F 0.3750 0.2500 0.1250  4 Cd 2.40
F 0.5000 0.0000 0.5000  6 Cd 2.59
F 0.5000 0.5000 0.0000  6 Cd 2.59
F 0.1250 0.7500 0.3750  4 Cd 2.40
F 0.7500 0.1250 0.8750  4 Cd 2.40
F 0.7500 0.6250 0.3750  4 Cd 2.40
F 0.3750 0.1250 0.7500  4 Cd 2.40
F 0.6250 0.8750 0.2500  4 Cd 2.40
F 0.5000 0.5000 0.5000  6 Cd 2.59
F 0.5000 0.0000 0.0000  6 Cd 2.59
F 0.0000 0.0000 0.5000  6 Cd 2.59
F 0.2500 0.3750 0.6250  4 Cd 2.40
F 0.2500 0.8750 0.1250  4 Cd 2.40
F 0.0000 0.5000 0.5000  6 Cd 2.59
F 0.8750 0.2500 0.6250  4 Cd 2.40
F 0.6250 0.7500 0.8750  4 Cd 2.40
F 0.8750 0.6250 0.7500  4 Cd 2.40
Cd 0.7116 0.1105 0.0299  2 F 2.40-2.59
Cd 0.3183 0.5299 0.4194  2 F 2.40-2.59
Cd 0.9701 0.3895 0.2884  2 F 2.40-2.59
Cd 0.5299 0.2116 0.1105  2 F 2.40-2.59
Cd 0.6011 0.7116 0.6817  2 F 2.40-2.59
Cd 0.9701 0.5806 0.1817  2 F 2.40-2.59
Cd 0.3183 0.7884 0.3989  2 F 2.40-2.59
Cd 0.0806 0.8989 0.1105  2 F 2.40-2.59
Cd 0.5806 0.9701 0.6817  2 F 2.40-2.59
Cd 0.7116 0.6011 0.1817  2 F 2.40-2.59
Cd 0.7884 0.4701 0.3895  2 F 2.40-2.59
Cd 0.8183 0.9194 0.0299  2 F 2.40-2.59
Cd 0.1105 0.7116 0.5299  2 F 2.40-2.59
Cd 0.3895 0.4194 0.1011  2 F 2.40-2.59
Cd 0.1011 0.9194 0.3895  2 F 2.40-2.59
Cd 0.3989 0.1105 0.5806  2 F 2.40-2.59
Cd 0.1011 0.1817 0.2116  2 F 2.40-2.59
Cd 0.4701 0.6817 0.0806  2 F 2.40-2.59
Cd 0.8183 0.8989 0.2884  2 F 2.40-2.59
Cd 0.1105 0.3989 0.0806  2 F 2.40-2.59
Cd 0.3895 0.9701 0.7884  2 F 2.40-2.59
Cd 0.5806 0.6105 0.3989  2 F 2.40-2.59
Cd 0.9194 0.8183 0.5299  2 F 2.40-2.59
Cd 0.7884 0.3183 0.8989  2 F 2.40-2.59
Cd 0.4194 0.3895 0.6011  2 F 2.40-2.59
Cd 0.0806 0.1817 0.4701  2 F 2.40-2.59
Cd 0.2116 0.6817 0.1011  2 F 2.40-2.59
Cd 0.1817 0.1011 0.7116  2 F 2.40-2.59
Cd 0.6105 0.0299 0.2116  2 F 2.40-2.59
Cd 0.8895 0.6011 0.9194  2 F 2.40-2.59
Cd 0.5299 0.3183 0.9194  2 F 2.40-2.59
Cd 0.6011 0.8895 0.4194  2 F 2.40-2.59
Cd 0.8989 0.8183 0.7884  2 F 2.40-2.59
Cd 0.8989 0.0806 0.6105  2 F 2.40-2.59
Cd 0.8895 0.2884 0.4701  2 F 2.40-2.59
Cd 0.1817 0.0806 0.9701  2 F 2.40-2.59
Cd 0.6105 0.5806 0.8989  2 F 2.40-2.59
Cd 0.4194 0.0299 0.3183  2 F 2.40-2.59
Cd 0.2884 0.3989 0.8183  2 F 2.40-2.59
Cd 0.2116 0.5299 0.6105  2 F 2.40-2.59
Cd 0.9194 0.1011 0.8895  2 F 2.40-2.59
Cd 0.6817 0.2116 0.6011  2 F 2.40-2.59
Cd 0.4701 0.7884 0.8895  2 F 2.40-2.59
Cd 0.0299 0.4194 0.8183  2 F 2.40-2.59
Cd 0.3989 0.2884 0.3183  2 F 2.40-2.59
Cd 0.0299 0.6105 0.7116  2 F 2.40-2.59
Cd 0.6817 0.4701 0.5806  2 F 2.40-2.59
Cd 0.2884 0.8895 0.9701  2 F 2.40-2.59

Output
Magnetization, μB per formula unit: 0.0
Symmetry: Ia-3d
Formation energy (no corrections), eV per atom: -0.59



Entry from Alexandria: an optimized crystal structure of CdSb2F (GGA-PBE).

Lattice parameters (Å, degrees): 4.3626 4.3626 10.5825 78.10 78.10 90.00
Closest atoms and distances in Å follow each position.
Atoms (fractional coordinates):
Sb 0.5949 0.1250 0.2500  2 Sb 2.91, 2 F 2.92, 2 Cd 3.01
Sb 0.1551 0.6250 0.2500  2 Sb 2.91, 2 F 2.92, 2 Cd 3.01
Sb 0.3750 0.4051 0.7500  2 Sb 2.91, 2 F 2.92, 2 Cd 3.01
Sb 0.8750 0.8449 0.7500  2 Sb 2.91, 2 F 2.92, 2 Cd 3.01
F 0.5000 0.5000 0.0000  4 Sb 2.92, 4 Cd 3.08
F 0.2500 0.7500 0.5000  4 Sb 2.92, 4 Cd 3.08
Cd 0.0000 0.0000 0.0000  4 Sb 3.01, 4 F 3.08
Cd 0.7500 0.2500 0.5000  4 Sb 3.01, 4 F 3.08

Output
Magnetization, μB per formula unit: 0.0
Symmetry: I-42d
Formation energy (no corrections), eV per atom: -0.45



Entry from Alexandria: an optimized crystal structure of Cd3SbF (GGA-PBE).

Lattice parameters (Å, degrees): 4.8740 4.8740 4.8740 90.00 90.00 90.00
Closest atoms and distances in Å follow each position.
Atoms (fractional coordinates):
Sb 0.5000 0.5000 0.5000  12 Cd 3.45
F 0.0000 0.0000 0.0000  6 Cd 2.44
Cd 0.0000 0.5000 0.0000  2 F 2.44
Cd 0.0000 0.0000 0.5000  2 F 2.44
Cd 0.5000 0.0000 0.0000  2 F 2.44

Output
Excess energy over the best structure of this formula in the dataset, eV/atom: 0.000
Magnetization, μB per formula unit: 0.0
Symmetry: Pm-3m
Formation energy (no corrections), eV per atom: -0.35



Entry from Alexandria: an optimized crystal structure of CdSb2F6 (GGA-PBE).

Lattice parameters (Å, degrees): 5.0265 7.8824 7.8824 72.01 91.24 91.24
Closest atoms and distances in Å follow each position.
Atoms (fractional coordinates):
Cd 0.2500 0.1468 0.8532  8 F 2.23-2.48
Cd 0.7500 0.8532 0.1468  8 F 2.23-2.48
Sb 0.1866 0.6015 0.8563  2 F 2.03-2.16
Sb 0.3134 0.1437 0.3985  2 F 2.03-2.16
Sb 0.8134 0.3985 0.1437  2 F 2.03-2.16
Sb 0.6866 0.8563 0.6015  2 F 2.03-2.16
F 0.5397 0.7203 0.4378  1 Sb 2.03
F 0.9603 0.5622 0.2797  1 Sb 2.03
F 0.4603 0.2797 0.5622  1 Sb 2.03
F 0.0397 0.4378 0.7203  1 Sb 2.03
F 0.9712 0.9190 0.3891  1 Sb 2.16, 1 Cd 2.38
F 0.5288 0.6109 0.0810  1 Sb 2.16, 1 Cd 2.38
F 0.0288 0.0810 0.6109  1 Sb 2.16, 1 Cd 2.38
F 0.4712 0.3891 0.9190  1 Sb 2.16, 1 Cd 2.38
F 0.0707 0.8369 0.9610  2 Cd 2.23-2.48, 1 Sb 2.34
F 0.4293 0.0390 0.1631  2 Cd 2.23-2.48, 1 Sb 2.34
F 0.9293 0.1631 0.0390  2 Cd 2.23-2.48, 1 Sb 2.34
F 0.5707 0.9610 0.8369  2 Cd 2.23-2.48, 1 Sb 2.34

Output
Magnetization, μB per formula unit: 0.0
Symmetry: C2/c
Formation energy (no corrections), eV per atom: -1.96



Entry from Alexandria: an optimized crystal structure of CdSbF2 (GGA-PBE).

Lattice parameters (Å, degrees): 4.5831 4.5831 4.5831 60.00 60.00 60.00
Closest atoms and distances in Å follow each position.
Atoms (fractional coordinates):
Sb 0.5000 0.5000 0.5000  8 F 2.81
F 0.2500 0.2500 0.2500  4 Cd 2.81, 4 Sb 2.81
F 0.7500 0.7500 0.7500  4 Cd 2.81, 4 Sb 2.81
Cd 0.0000 0.0000 0.0000  8 F 2.81

Output
Excess energy over the best structure of this formula in the dataset, eV/atom: 0.450
Magnetization, μB per formula unit: 0.0
Symmetry: Fm-3m
Formation energy (no corrections), eV per atom: -0.91



formation energy (no corrections) of number 7 (CdSbF2)? -1.16 eV per atom



What is the formation energy (no corrections) in the fifth record? -0.60 eV per atom



Number 11 is which compound? CdSb2F6



Look up the magnetization of the second one. 0.0 μB per formula unit